(1)
Entry from the Alexandria database: a geometry-optimized Zn2AgPd2 structure (PBE).

Results
Energy above the most stable polymorph in this dataset (meV per atom): 243
VASP energy (eV/atom): -3.27
Formation energy from the elements (eV per formula unit): -0.56

Lattice parameters (Å, degrees): 3.6956 3.6956 12.4408 90.00 90.00 90.00
Space group I4/mmm (No. 139)
Asymmetric unit:
Zn 0.0000 0.5000 0.2500 (multiplicity 4)
Ag 0.0000 0.0000 0.0000 (multiplicity 2)
Pd 0.0000 0.0000 0.3925 (multiplicity 4)


(2)
Entry from the Alexandria database: a geometry-optimized BaDy2Rh structure (PBE).

Results
VASP energy (eV/atom): -4.88
Formation energy from the elements (eV per formula unit): -1.06

Lattice parameters (Å, degrees): 3.9895 3.9895 32.0632 90.00 90.00 120.00
Space group R-3m (No. 166, hexagonal axes)
Asymmetric unit:
Ba 0.0000 0.0000 0.0000 (multiplicity 3)
Dy 0.0000 0.0000 0.1203 (multiplicity 6)
Rh 0.0000 0.0000 0.5000 (multiplicity 3)


(3)
Entry from the Alexandria database: a geometry-optimized BAsOs3 structure (PBE).

Results
Energy above the most stable polymorph in this dataset (meV per atom): 1951
VASP energy (eV/atom): -6.39
Formation energy from the elements (eV per formula unit): 13.09

Lattice parameters (Å, degrees): 4.5227 4.5227 4.5227 90.00 90.00 90.00
Space group Pm-3m (No. 221)
Asymmetric unit:
B 0.0000 0.0000 0.0000 (multiplicity 1)
As 0.5000 0.5000 0.5000 (multiplicity 1)
Os 0.0000 0.5000 0.5000 (multiplicity 3)


(4)
Entry from the Alexandria database: a geometry-optimized Pr3Cu2SnPd9 structure (PBE).

Results
VASP energy (eV/atom): -5.31
Formation energy from the elements (eV per formula unit): -6.45

Lattice parameters (Å, degrees): 5.6900 5.6900 11.9065 90.00 90.00 120.00
Space group P-3m1 (No. 164)
Asymmetric unit:
Pr 0.0000 0.0000 0.0000 (multiplicity 1)
Pr 0.3333 0.6667 0.7660 (multiplicity 2)
Cu 0.3333 0.6667 0.1627 (multiplicity 2)
Sn 0.0000 0.0000 0.5000 (multiplicity 1)
Pd 0.0000 0.5000 0.0000 (multiplicity 3)
Pd 0.1672 0.3344 0.3246 (multiplicity 6)


(5)
Entry from the Alexandria database: a geometry-optimized Sm5Dy5Ho2 structure (PBE).

Results
VASP energy (eV/atom): -4.63
Formation energy from the elements (eV per formula unit): 0.20

Lattice parameters (Å, degrees): 15.1687 5.0511 11.3022 90.00 116.59 90.00
Space group C2/m (No. 12)
Asymmetric unit:
Sm 0.0000 0.0000 0.0000 (multiplicity 2)
Sm 0.0825 0.0000 0.7488 (multiplicity 4)
Sm 0.2496 0.0000 0.2508 (multiplicity 4)
Dy 0.0000 0.5000 0.5000 (multiplicity 2)
Dy 0.0841 0.5000 0.2517 (multiplicity 4)
Dy 0.1668 0.5000 0.9999 (multiplicity 4)
Ho 0.1667 0.0000 0.4996 (multiplicity 4)


(6)
Entry from the Alexandria database: a geometry-optimized Ag3Pd5Cl12 structure (PBE).

Results
ΔE_f (raw) (eV per atom): -0.273
VASP energy (eV/atom): -3.11

Lattice parameters (Å, degrees): 15.8000 15.8000 15.8000 90.00 90.00 90.00
Space group Ia-3d (No. 230)
Asymmetric unit:
Ag 0.0000 0.2500 0.1250 (multiplicity 24)
Pd 0.0000 0.0000 0.0000 (multiplicity 16)
Pd 0.0000 0.2500 0.3750 (multiplicity 24)
Cl 0.0159 0.0343 0.6508 (multiplicity 96)


(7)
Entry from the Alexandria database: a geometry-optimized Ta2Be9Ru structure (PBE).

Results
VASP energy (eV/atom): -5.75
Formation energy from the elements (eV per formula unit): -2.45

Lattice parameters (Å, degrees): 4.4847 4.4847 13.9385 90.00 90.00 120.00
Space group P6_3/mmc (No. 194)
Asymmetric unit:
Ta 0.3333 0.6667 0.0360 (multiplicity 4)
Be 0.0000 0.0000 0.0000 (multiplicity 2)
Be 0.0000 0.0000 0.2500 (multiplicity 2)
Be 0.1673 0.3345 0.6280 (multiplicity 12)
Be 0.3333 0.6667 0.7500 (multiplicity 2)
Ru 0.3333 0.6667 0.2500 (multiplicity 2)


(8)
Entry from the Alexandria database: a geometry-optimized Y2CuSi2Ni5 structure (PBE).

Results
ΔE_f (raw) (eV per atom): -0.360
VASP energy (eV/atom): -6.04

Lattice parameters (Å, degrees): 9.5778 9.5778 3.2165 90.00 90.00 90.00
Space group P4/mbm (No. 127)
Asymmetric unit:
Y 0.1775 0.3225 0.0000 (multiplicity 4)
Cu 0.0000 0.0000 0.0000 (multiplicity 2)
Si 0.1215 0.6215 0.0000 (multiplicity 4)
Ni 0.0000 0.5000 0.5000 (multiplicity 2)
Ni 0.0565 0.7931 0.5000 (multiplicity 8)


(9)
Entry from the Alexandria database: a geometry-optimized MnBeTe2 structure (PBE).

Results
ΔE_f (raw) (eV per atom): 0.171
VASP energy (eV/atom): -4.62

Lattice parameters (Å, degrees): 3.1820 3.1820 7.7676 90.00 90.00 90.00
Space group P4mm (No. 99)
Asymmetric unit:
Mn 0.0000 0.0000 0.0000 (multiplicity 1)
Be 0.5000 0.5000 0.8662 (multiplicity 1)
Te 0.0000 0.0000 0.6673 (multiplicity 1)
Te 0.5000 0.5000 0.1905 (multiplicity 1)


(10)
Entry from the Alexandria database: a geometry-optimized KSnSbS3 structure (PBE).

Results
ΔE_f (raw) (eV per atom): -0.615
VASP energy (eV/atom): -4.22

Lattice parameters (Å, degrees): 7.8891 4.0566 10.3047 90.00 90.95 90.00
Space group P2_1/m (No. 11)
Asymmetric unit:
K 0.1005 0.2500 0.1777 (multiplicity 2)
Sn 0.2733 0.7500 0.5107 (multiplicity 2)
Sb 0.3929 0.2500 0.8307 (multiplicity 2)
S 0.1439 0.2500 0.6740 (multiplicity 2)
S 0.2691 0.7500 0.9696 (multiplicity 2)
S 0.4573 0.2500 0.3436 (multiplicity 2)


(11)
Entry from the Alexandria database: a geometry-optimized Tc2MoH structure (PBE).

Results
Energy above the most stable polymorph in this dataset (meV per atom): 201
VASP energy (eV/atom): -8.46

Lattice parameters (Å, degrees): 6.5764 6.5764 4.5367 90.00 90.00 90.00
Space group I-42d (No. 122)
Asymmetric unit:
Tc 0.1471 0.2500 0.1250 (multiplicity 8)
Mo 0.0000 0.0000 0.5000 (multiplicity 4)
H 0.0000 0.0000 0.0000 (multiplicity 4)


(12)
Entry from the Alexandria database: a geometry-optimized Tb15Pr2Er2 structure (PBE).

Results
VASP energy (eV/atom): -4.37
Formation energy from the elements (eV per formula unit): 5.10

Lattice parameters (Å, degrees): 11.2682 11.2682 17.5392 90.00 90.00 120.00
Space group R-3m (No. 166, hexagonal axes)
Asymmetric unit:
Tb 0.0000 0.2959 0.0000 (multiplicity 18)
Tb 0.0000 0.5000 0.5000 (multiplicity 9)
Tb 0.0117 0.5058 0.1375 (multiplicity 18)
Pr 0.0000 0.0000 0.3268 (multiplicity 6)
Er 0.0000 0.0000 0.0958 (multiplicity 6)


no.,total magnetization (μB/f.u.)
1,0.000
2,0.001
3,1.701
4,0.000
5,0.000
6,0.541
7,0.000
8,0.000
9,0.000
10,0.000
11,0.000
12,0.399